Entry 1:
# PBE-GGA AcPrTl2, optimized geometry
# **Mass density**: 9.84 g/cm³
# **DOS(E_F)**: 0.9840 states/eV per atom
# **E_form**: -368 meV/atom
data_AcPrTl2
_chemical_formula_sum 'Ac1 Pr1 Tl2'
_symmetry_space_group_name_H-M 'P 4/m m m'
_symmetry_Int_Tables_number 123
_symmetry_space_group_name_Hall '-P 4 2'
_cell_length_a 4.035
_cell_length_b 4.035
_cell_length_c 8.051
_cell_angle_alpha 90.00
_cell_angle_beta 90.00
_cell_angle_gamma 90.00
loop_
_atom_site_label
_atom_site_type_symbol
_atom_site_fract_x
_atom_site_fract_y
_atom_site_fract_z
Ac1 Ac 0.000 0.000 0.000
Pr1 Pr 0.000 0.000 0.500
Tl1 Tl 0.500 0.500 0.267

Entry 2:
# PBE-GGA SrTeHS2, optimized geometry
# **Mass density**: 2.15 g/cm³
# **Final energy**: -2.592 eV/atom
# **DOS(E_F)**: 1.9396 states/eV per atom
data_SrTeHS2
_chemical_formula_sum 'Sr1 Te1 H1 S2'
_symmetry_space_group_name_H-M 'P 4/m m m'
_symmetry_Int_Tables_number 123
_symmetry_space_group_name_Hall '-P 4 2'
_cell_length_a 5.781
_cell_length_b 5.781
_cell_length_c 6.468
_cell_angle_alpha 90.00
_cell_angle_beta 90.00
_cell_angle_gamma 90.00
loop_
_atom_site_label
_atom_site_type_symbol
_atom_site_fract_x
_atom_site_fract_y
_atom_site_fract_z
Sr1 Sr 0.000 0.000 0.000
Te1 Te 0.000 0.000 0.500
H1 H 0.500 0.500 0.500
S1 S 0.000 0.500 0.000

Entry 3:
# PBE-GGA LiYBr2, optimized geometry
# **Excess energy over the best structure of this formula in the dataset**: 0.301 eV per atom
# **Mass density**: 4.28 g/cm³
# **DOS(E_F)**: 0.4136 states/eV per atom
# **Raw formation energy**: -0.917 eV per atom
data_LiYBr2
_chemical_formula_sum 'Li1 Y1 Br2'
_symmetry_space_group_name_H-M 'P m m m'
_symmetry_Int_Tables_number 47
_cell_length_a 3.910
_cell_length_b 4.114
_cell_length_c 6.167
_cell_angle_alpha 90.00
_cell_angle_beta 90.00
_cell_angle_gamma 90.00
loop_
_symmetry_equiv_pos_as_xyz
'x,y,z'
'-x,-y,-z'
'-x,-y,z'
'x,y,-z'
'x,-y,-z'
'-x,y,z'
'-x,y,-z'
'x,-y,z'
loop_
_atom_site_label
_atom_site_type_symbol
_atom_site_fract_x
_atom_site_fract_y
_atom_site_fract_z
Li1 Li 0.000 0.000 0.000
Y1 Y 0.500 0.000 0.500
Br1 Br 0.000 0.500 0.500
Br2 Br 0.500 0.500 0.000

Entry 4:
# PBE-GGA Zr2BiS, optimized geometry
# **Excess energy over the best structure of this formula in the dataset**: 0.000 eV per atom
# **Mass density**: 8.03 g/cm³
# **DOS(E_F)**: 0.5843 states/eV per atom
# **Raw formation energy**: -0.911 eV per atom
data_Zr2BiS
_chemical_formula_sum 'Zr6 Bi3 S3'
_symmetry_space_group_name_H-M 'R 3 m'
_symmetry_Int_Tables_number 160
_symmetry_space_group_name_Hall 'R 3 -2"'
_cell_length_a 3.8214
_cell_length_b 3.8214
_cell_length_c 20.7862
_cell_angle_alpha 90.00
_cell_angle_beta 90.00
_cell_angle_gamma 120.00
loop_
_atom_site_label
_atom_site_type_symbol
_atom_site_fract_x
_atom_site_fract_y
_atom_site_fract_z
Zr1 Zr 0.0000 0.0000 0.0000
Zr2 Zr 0.0000 0.0000 0.2058
Bi1 Bi 0.0000 0.0000 0.4353
S1 S 0.0000 0.0000 0.6035

Entry 5:
# PBE-GGA Tl3SbI6, optimized geometry
# **Mass density**: 5.57 g/cm³
# **DOS(E_F)**: 0.0000 states/eV per atom
# **Raw formation energy**: -0.525 eV per atom
data_Tl3SbI6
_chemical_formula_sum 'Tl6 Sb2 I12'
_symmetry_space_group_name_H-M 'P 1 21/c 1'
_symmetry_Int_Tables_number 14
_cell_length_a 8.148
_cell_length_b 9.139
_cell_length_c 14.073
_cell_angle_alpha 90.00
_cell_angle_beta 121.72
_cell_angle_gamma 90.00
loop_
_symmetry_equiv_pos_as_xyz
'x,y,z'
'-x,-y,-z'
'-x,y+1/2,-z+1/2'
'x,-y+1/2,z+1/2'
loop_
_atom_site_label
_atom_site_type_symbol
_atom_site_fract_x
_atom_site_fract_y
_atom_site_fract_z
Tl1 Tl 0.000 0.000 0.000
Tl2 Tl 0.193 0.096 0.736
Sb1 Sb 0.500 0.000 0.500
I1 I 0.140 0.169 0.449
I2 I 0.268 0.714 0.423
I3 I 0.410 0.058 0.264

Entry 6:
# PBE-GGA Pd3WS, optimized geometry
# **Excess energy over the best structure of this formula in the dataset**: 0.659 eV per atom
# **Mass density**: 7.94 g/cm³
# **DOS(E_F)**: 1.0629 states/eV per atom
# **Raw formation energy**: 1.376 eV per atom
data_Pd3WS
_chemical_formula_sum 'Pd3 W1 S1'
_symmetry_space_group_name_H-M 'P m -3 m'
_symmetry_Int_Tables_number 221
_symmetry_space_group_name_Hall '-P 4 2 3'
_cell_length_a 4.819
_cell_length_b 4.819
_cell_length_c 4.819
_cell_angle_alpha 90.00
_cell_angle_beta 90.00
_cell_angle_gamma 90.00
loop_
_atom_site_label
_atom_site_type_symbol
_atom_site_fract_x
_atom_site_fract_y
_atom_site_fract_z
Pd1 Pd 0.000 0.000 0.500
W1 W 0.000 0.000 0.000
S1 S 0.500 0.500 0.500

Entry 7:
# PBE-GGA CaY2MgNi, optimized geometry
# **Excess energy over the best structure of this formula in the dataset**: 0.000 eV per atom
# **Mass density**: 3.49 g/cm³
# **DOS(E_F)**: 0.8170 states/eV per atom
# **E_form**: -88 meV/atom
data_CaY2MgNi
_chemical_formula_sum 'Ca1 Y2 Mg1 Ni1'
_symmetry_space_group_name_H-M 'P 4/m m m'
_symmetry_Int_Tables_number 123
_symmetry_space_group_name_Hall '-P 4 2'
_cell_length_a 5.278
_cell_length_b 5.278
_cell_length_c 5.144
_cell_angle_alpha 90.00
_cell_angle_beta 90.00
_cell_angle_gamma 90.00
loop_
_atom_site_label
_atom_site_type_symbol
_atom_site_fract_x
_atom_site_fract_y
_atom_site_fract_z
Ca1 Ca 0.000 0.000 0.000
Y1 Y 0.000 0.500 0.500
Mg1 Mg 0.500 0.500 0.000
Ni1 Ni 0.500 0.500 0.500

Entry 8:
# PBE-GGA Sr2CaAg2, optimized geometry
# **Excess energy over the best structure of this formula in the dataset**: 0.203 eV per atom
# **Mass density**: 4.41 g/cm³
# **DOS(E_F)**: 0.6464 states/eV per atom
# **E_form**: -75 meV/atom
data_Sr2CaAg2
_chemical_formula_sum 'Sr4 Ca2 Ag4'
_symmetry_space_group_name_H-M 'P 4/m b m'
_symmetry_Int_Tables_number 127
_symmetry_space_group_name_Hall '-P 4 2ab'
_cell_length_a 9.371
_cell_length_b 9.371
_cell_length_c 3.695
_cell_angle_alpha 90.00
_cell_angle_beta 90.00
_cell_angle_gamma 90.00
loop_
_atom_site_label
_atom_site_type_symbol
_atom_site_fract_x
_atom_site_fract_y
_atom_site_fract_z
Sr1 Sr 0.139 0.361 0.000
Ca1 Ca 0.000 0.000 0.000
Ag1 Ag 0.158 0.658 0.500

Entry 9:
# PBE-GGA Sm4TlTe, optimized geometry
# **Excess energy over the best structure of this formula in the dataset**: 0.068 eV per atom
# **Mass density**: 7.71 g/cm³
# **DOS(E_F)**: 0.8161 states/eV per atom
# **Raw formation energy**: -0.473 eV per atom
data_Sm4TlTe
_chemical_formula_sum 'Sm16 Tl4 Te4'
_symmetry_space_group_name_H-M 'C m c m'
_symmetry_Int_Tables_number 63
_symmetry_space_group_name_Hall '-C 2c 2'
_cell_length_a 5.715
_cell_length_b 21.743
_cell_length_c 6.474
_cell_angle_alpha 90.00
_cell_angle_beta 90.00
_cell_angle_gamma 90.00
loop_
_atom_site_label
_atom_site_type_symbol
_atom_site_fract_x
_atom_site_fract_y
_atom_site_fract_z
Sm1 Sm 0.000 0.067 0.250
Sm2 Sm 0.000 0.214 0.003
Sm3 Sm 0.000 0.371 0.250
Tl1 Tl 0.000 0.352 0.750
Te1 Te 0.000 0.075 0.750

Entry 10:
# PBE-GGA ZnSe3O, optimized geometry
# **Excess energy over the best structure of this formula in the dataset**: 0.000 eV per atom
# **Mass density**: 5.76 g/cm³
# **DOS(E_F)**: 0.5627 states/eV per atom
# **Raw formation energy**: 0.456 eV per atom
data_ZnSe3O
_chemical_formula_sum 'Zn1 Se3 O1'
_symmetry_space_group_name_H-M 'P m -3 m'
_symmetry_Int_Tables_number 221
_symmetry_space_group_name_Hall '-P 4 2 3'
_cell_length_a 4.510
_cell_length_b 4.510
_cell_length_c 4.510
_cell_angle_alpha 90.00
_cell_angle_beta 90.00
_cell_angle_gamma 90.00
loop_
_atom_site_label
_atom_site_type_symbol
_atom_site_fract_x
_atom_site_fract_y
_atom_site_fract_z
Zn1 Zn 0.000 0.000 0.000
Se1 Se 0.000 0.500 0.500
O1 O 0.500 0.500 0.500

Entry 11:
# PBE-GGA Nd2Ho4Tl, optimized geometry
# **Excess energy over the best structure of this formula in the dataset**: 0.014 eV per atom
# **Mass density**: 8.75 g/cm³
# **DOS(E_F)**: 1.1876 states/eV per atom
# **E_form**: -4 meV/atom
data_Nd2Ho4Tl
_chemical_formula_sum 'Nd4 Ho8 Tl2'
_symmetry_space_group_name_H-M 'P 1 21/m 1'
_symmetry_Int_Tables_number 11
_cell_length_a 5.824
_cell_length_b 6.692
_cell_length_c 11.537
_cell_angle_alpha 90.00
_cell_angle_beta 103.47
_cell_angle_gamma 90.00
loop_
_symmetry_equiv_pos_as_xyz
'x,y,z'
'-x,-y,-z'
'-x,y+1/2,-z'
'x,-y+1/2,z'
loop_
_atom_site_label
_atom_site_type_symbol
_atom_site_fract_x
_atom_site_fract_y
_atom_site_fract_z
Nd1 Nd 0.037 0.250 0.475
Nd2 Nd 0.336 0.750 0.072
Ho1 Ho 0.160 0.009 0.787
Ho2 Ho 0.214 0.250 0.068
Ho3 Ho 0.392 0.750 0.369
Tl1 Tl 0.468 0.250 0.338

Entry 12:
# PBE-GGA Sr8GaPd2, optimized geometry
# **Mass density**: 3.77 g/cm³
# **DOS(E_F)**: 0.8456 states/eV per atom
# **E_form**: -266 meV/atom
data_Sr8GaPd2
_chemical_formula_sum 'Sr16 Ga2 Pd4'
_symmetry_space_group_name_H-M 'C 1 m 1'
_symmetry_Int_Tables_number 8
_cell_length_a 9.604
_cell_length_b 14.221
_cell_length_c 6.593
_cell_angle_alpha 90.00
_cell_angle_beta 106.07
_cell_angle_gamma 90.00
loop_
_symmetry_equiv_pos_as_xyz
'x,y,z'
'x,-y,z'
'x+1/2,y+1/2,z'
'x+1/2,-y+1/2,z'
loop_
_atom_site_label
_atom_site_type_symbol
_atom_site_fract_x
_atom_site_fract_y
_atom_site_fract_z
Sr1 Sr 0.000 0.000 0.000
Sr2 Sr 0.070 0.367 0.776
Sr3 Sr 0.164 0.134 0.592
Sr4 Sr 0.233 0.500 0.390
Sr5 Sr 0.364 0.225 0.191
Ga1 Ga 0.366 0.000 0.350
Pd1 Pd 0.370 0.312 0.699